(1)
First-principles (PBE) data for a relaxed structure of BeSb2, as listed in Alexandria.

Geometry as POSCAR:
```
BeSb2
1.0
4.4971 0.0000 0.0000
0.0000 4.4971 0.0000
0.0000 0.0000 3.4278
Be Sb
1 2
Cartesian
0.0000 0.0000 0.0000 Be
0.0000 2.2486 1.7139 Sb
2.2486 0.0000 1.7139 Sb
```

* symmetry: P4/mmm
* uncorrected formation energy: 0.464 eV/atom
* distance to the lowest polymorph of the same formula: 232 meV/atom



(2)
First-principles (PBE) data for a relaxed structure of Rb3Tb3HfS8, as listed in Alexandria.

Geometry as POSCAR:
```
Rb3Tb3HfS8
1.0
3.9892 2.3032 7.8403
-3.9892 2.3032 7.8403
0.0000 -4.6063 7.8403
Rb Tb Hf S
3 3 1 8
Cartesian
-1.9946 -1.1516 7.8403 Rb
-1.9946 1.1516 15.6806 Rb
0.0000 2.3031 7.8403 Rb
-3.9892 0.0000 11.7605 Tb
-1.9946 1.1516 3.9201 Tb
1.9946 1.1516 3.9202 Tb
0.0000 0.0000 11.7605 Hf
0.0000 0.0000 5.4255 S
-1.8727 -1.0812 13.1976 S
0.0000 -2.1625 10.3233 S
-1.8727 1.0812 10.3233 S
1.8727 -1.0812 13.1976 S
0.0000 2.1625 13.1976 S
1.8727 1.0812 10.3233 S
0.0000 0.0000 18.0955 S
```

* symmetry: R-3m
* uncorrected formation energy: -1.817 eV/atom



(3)
First-principles (PBE) data for a relaxed structure of K2Ti3PbO8, as listed in Alexandria.

Geometry as POSCAR:
```
K2Ti3PbO8
1.0
3.0563 1.7645 6.5096
-3.0563 1.7645 6.5096
0.0000 -3.5291 6.5096
K Ti Pb O
2 3 1 8
Cartesian
0.0000 0.0000 0.0000 K
0.0000 0.0000 7.1357 K
0.0000 -1.7979 10.4412 Ti
-1.5571 0.8990 10.4412 Ti
1.5571 0.8990 10.4412 Ti
0.0000 0.0000 14.7624 Pb
0.0000 -1.5664 4.8871 O
-1.3565 0.7832 4.8871 O
0.0000 0.0000 2.7876 O
-1.3915 -0.8034 9.3244 O
1.3565 0.7832 4.8871 O
0.0000 0.0000 11.3945 O
1.3915 -0.8034 9.3244 O
0.0000 1.6067 9.3244 O
```

* symmetry: R3m
* uncorrected formation energy: -2.458 eV/atom



(4)
First-principles (PBE) data for a relaxed structure of TmIn2Sn, as listed in Alexandria.

Geometry as POSCAR:
```
TmIn2Sn
1.0
4.0906 0.0000 0.0000
0.0000 4.0906 0.0000
0.0000 0.0000 6.2546
Tm In Sn
1 2 1
Cartesian
0.0000 0.0000 0.0000 Tm
2.0453 2.0453 1.5800 In
2.0453 2.0453 4.6746 In
0.0000 0.0000 3.1273 Sn
```

* symmetry: P4/mmm
* DFT formation energy: -0.8 eV per formula unit
* distance to the lowest polymorph of the same formula: 164 meV/atom



(5)
First-principles (PBE) data for a relaxed structure of Th6Sn3Sb, as listed in Alexandria.

Geometry as POSCAR:
```
Th6Sn3Sb
1.0
7.6707 0.0000 0.0000
0.0000 8.7765 0.0000
-7.6051 0.0000 9.6715
Th Sn Sb
12 6 2
Cartesian
-1.8554 0.9413 2.4307 Th
-5.6579 3.4469 7.2665 Th
1.1398 5.9237 0.5206 Th
-2.6627 7.2410 5.3563 Th
2.6864 1.5072 0.5308 Th
-1.1161 2.8810 5.3666 Th
1.1817 5.8955 4.3050 Th
-2.6208 7.2692 9.1408 Th
2.7283 1.5355 4.3152 Th
-1.0742 2.8528 9.1510 Th
5.7235 5.3295 2.4051 Th
1.9209 7.8352 7.2408 Th
-3.2593 1.1464 7.2531 Sn
0.5433 3.2419 2.4173 Sn
0.0328 0.0000 4.8358 Sn
3.8353 4.3882 0.0000 Sn
-0.4777 5.5346 7.2542 Sn
3.3248 7.6301 2.4184 Sn
0.0000 0.0000 0.0000 Sb
-3.8025 4.3882 4.8358 Sb
```

* symmetry: P2_1/c
* uncorrected formation energy: -0.318 eV/atom



(6)
First-principles (PBE) data for a relaxed structure of SrTcSb2Au, as listed in Alexandria.

Geometry as POSCAR:
```
SrTcSb2Au
1.0
5.0267 0.0000 0.0000
0.0000 5.0267 0.0000
0.0000 0.0000 6.1632
Sr Tc Sb Au
1 1 2 1
Cartesian
0.0000 0.0000 0.0000 Sr
0.0000 0.0000 3.0816 Tc
0.0000 2.5134 3.0816 Sb
2.5134 0.0000 3.0816 Sb
2.5134 2.5134 0.0000 Au
```

* symmetry: P4/mmm
* uncorrected formation energy: 0.099 eV/atom



(7)
First-principles (PBE) data for a relaxed structure of LiDy2Nb, as listed in Alexandria.

Geometry as POSCAR:
```
LiDy2Nb
1.0
1.5858 0.9155 11.5085
-1.5858 0.9155 11.5085
0.0000 -1.8311 11.5085
Li Dy Nb
1 2 1
Cartesian
0.0000 0.0000 0.0000 Li
0.0000 0.0000 14.3560 Dy
0.0000 0.0000 20.1694 Dy
0.0000 0.0000 17.2627 Nb
```

* symmetry: R-3m
* DFT formation energy: 2.2 eV per formula unit
* distance to the lowest polymorph of the same formula: 344 meV/atom



(8)
First-principles (PBE) data for a relaxed structure of Sr4BiPbO, as listed in Alexandria.

Geometry as POSCAR:
```
Sr4BiPbO
1.0
3.5848 -8.9141 0.0000
3.5848 8.9141 0.0000
0.0000 0.0000 7.1553
Sr Bi Pb O
8 2 2 2
Cartesian
1.7924 4.4570 0.0000 Sr
1.7924 4.4570 3.5777 Sr
3.5848 7.5393 5.3665 Sr
3.5848 1.5735 5.3665 Sr
1.7924 -4.4570 0.0000 Sr
1.7924 -4.4570 3.5777 Sr
3.5848 -1.5735 1.7888 Sr
3.5848 -7.5393 1.7888 Sr
3.5848 6.8983 1.7888 Bi
3.5848 -6.8983 5.3665 Bi
3.5848 1.9640 1.7888 Pb
3.5848 -1.9640 5.3665 Pb
3.5848 4.2549 5.3665 O
3.5848 -4.2549 1.7888 O
```

* symmetry: Cmcm
* uncorrected formation energy: -1.268 eV/atom



(9)
First-principles (PBE) data for a relaxed structure of La2CoSe, as listed in Alexandria.

Geometry as POSCAR:
```
La2CoSe
1.0
-2.2365 2.9667 3.6878
2.2365 -2.9667 3.6878
2.2365 2.9667 -3.6878
La Co Se
2 1 1
Cartesian
0.0000 0.0000 1.6863 La
0.0000 0.0000 5.6893 La
2.2365 0.0000 0.0000 Co
0.0000 2.9667 0.0000 Se
```

* symmetry: Immm
* uncorrected formation energy: -0.682 eV/atom



(10)
First-principles (PBE) data for a relaxed structure of Ta4TiTc, as listed in Alexandria.

Geometry as POSCAR:
```
Ta4TiTc
1.0
4.8683 -2.3082 0.0000
4.8683 2.3082 0.0000
-3.1762 0.0000 4.6192
Ta Ti Tc
4 1 1
Cartesian
0.5325 0.0000 1.4614 Ta
-0.9133 0.0000 3.8403 Ta
7.4736 0.0000 0.7788 Ta
6.0278 0.0000 3.1578 Ta
3.2802 0.0000 2.3096 Ti
4.8683 0.0000 0.0000 Tc
```

* symmetry: C2/m
* DFT formation energy: -0.9 eV per formula unit



(11)
First-principles (PBE) data for a relaxed structure of PmHfZr, as listed in Alexandria.

Geometry as POSCAR:
```
PmHfZr
1.0
5.2296 0.0000 0.0000
-2.6148 4.5290 0.0000
0.0000 0.0000 3.2181
Pm Hf Zr
1 1 1
Cartesian
0.0000 0.0000 0.0000 Pm
0.0000 3.0193 0.0000 Hf
2.6148 1.5096 1.6091 Zr
```

* symmetry: P-6m2
* DFT formation energy: 0.7 eV per formula unit
* distance to the lowest polymorph of the same formula: 93 meV/atom



(12)
First-principles (PBE) data for a relaxed structure of GdPaGePt, as listed in Alexandria.

Geometry as POSCAR:
```
GdPaGePt
1.0
0.0000 3.5620 3.5620
3.5620 0.0000 3.5620
3.5620 3.5620 0.0000
Gd Pa Ge Pt
1 1 1 1
Cartesian
0.0000 0.0000 0.0000 Gd
3.5620 3.5620 3.5620 Pa
1.7810 1.7810 1.7810 Ge
5.3429 5.3429 5.3429 Pt
```

* symmetry: F-43m
* DFT formation energy: -2.5 eV per formula unit



(13)
First-principles (PBE) data for a relaxed structure of Be2RuCl, as listed in Alexandria.

Geometry as POSCAR:
```
Be2RuCl
1.0
-2.7092 2.7092 4.2114
2.7092 -2.7092 4.2114
2.7092 2.7092 -4.2114
Be Ru Cl
4 2 2
Cartesian
4.0639 1.3297 -1.0528 Be
1.3297 1.3546 1.0528 Be
-1.3546 1.3795 3.1585 Be
1.3795 1.3546 5.2642 Be
2.7092 0.0000 2.1057 Ru
0.0000 0.0000 4.2114 Ru
0.0000 0.0000 0.0000 Cl
0.0000 2.7092 2.1057 Cl
```

* symmetry: I-42d
* uncorrected formation energy: 0.574 eV/atom
* distance to the lowest polymorph of the same formula: 625 meV/atom



(14)
First-principles (PBE) data for a relaxed structure of TmSnTe, as listed in Alexandria.

Geometry as POSCAR:
```
TmSnTe
1.0
-2.0956 2.0956 9.4507
2.0956 -2.0956 9.4507
2.0956 2.0956 -9.4507
Tm Sn Te
2 2 2
Cartesian
0.0000 0.0000 2.6718 Tm
0.0000 0.0000 16.2296 Tm
2.0956 0.0000 0.0000 Sn
0.0000 2.0956 0.0000 Sn
0.0000 0.0000 5.8696 Te
0.0000 0.0000 13.0318 Te
```

* symmetry: I4/mmm
* uncorrected formation energy: -0.887 eV/atom



(15)
First-principles (PBE) data for a relaxed structure of HgW, as listed in Alexandria.

Geometry as POSCAR:
```
HgW
1.0
1.4668 0.8469 4.8783
-1.4668 0.8469 4.8783
0.0000 -1.6937 4.8783
Hg W
1 1
Cartesian
0.0000 0.0000 0.0000 Hg
0.0000 0.0000 7.3175 W
```

* symmetry: R-3m
* DFT formation energy: 1.7 eV per formula unit
* distance to the lowest polymorph of the same formula: 329 meV/atom



(16)
First-principles (PBE) data for a relaxed structure of Y3NpOs8, as listed in Alexandria.

Geometry as POSCAR:
```
Y3NpOs8
1.0
2.6770 1.5456 8.7536
-2.6770 1.5456 8.7536
0.0000 -3.0911 8.7536
Y Np Os
3 1 8
Cartesian
0.0000 0.0000 0.0000 Y
0.0000 0.0000 3.2785 Y
0.0000 0.0000 16.4160 Y
0.0000 0.0000 13.1286 Np
0.0000 -1.5456 6.0063 Os
-1.3385 0.7728 6.0063 Os
-1.3338 -0.7701 10.4037 Os
0.0000 0.0000 8.1933 Os
1.3385 0.7728 6.0063 Os
1.3338 -0.7701 10.4037 Os
0.0000 1.5402 10.4037 Os
0.0000 0.0000 21.3316 Os
```

* symmetry: R3m
* DFT formation energy: -2.2 eV per formula unit



(17)
First-principles (PBE) data for a relaxed structure of UGa3Tc2, as listed in Alexandria.

Geometry as POSCAR:
```
UGa3Tc2
1.0
3.2150 -3.9260 0.0000
3.2150 3.9260 0.0000
-2.7073 0.0000 8.6577
U Ga Tc
2 6 4
Cartesian
1.1845 3.8145 6.4933 U
2.5382 -3.8145 2.1644 U
1.4453 1.6278 3.9282 Ga
3.6310 1.6278 0.4007 Ga
1.1845 0.7891 6.4933 Ga
2.5382 -0.7891 2.1644 Ga
0.0916 -1.6278 8.2570 Ga
2.2774 -1.6278 4.7295 Ga
1.1934 1.3124 1.3592 Tc
-0.1602 -1.3124 5.6881 Tc
3.8829 1.3124 2.9696 Tc
2.5292 -1.3124 7.2985 Tc
```

* symmetry: C2/c
* DFT formation energy: -0.7 eV per formula unit



(18)
First-principles (PBE) data for a relaxed structure of In3TcC, as listed in Alexandria.

Geometry as POSCAR:
```
In3TcC
1.0
4.6029 0.0000 0.0000
0.0000 4.6029 0.0000
0.0000 0.0000 4.6029
In Tc C
3 1 1
Cartesian
0.0000 0.0000 2.3015 In
0.0000 2.3015 0.0000 In
2.3015 0.0000 0.0000 In
2.3015 2.3015 2.3015 Tc
0.0000 0.0000 0.0000 C
```

* symmetry: Pm-3m
* DFT formation energy: 6.4 eV per formula unit
* distance to the lowest polymorph of the same formula: 0 meV/atom



(19)
First-principles (PBE) data for a relaxed structure of Tm3ThCo, as listed in Alexandria.

Geometry as POSCAR:
```
Tm3ThCo
1.0
5.8283 -1.8267 0.0000
5.8283 1.8267 0.0000
-4.7332 0.0000 12.3140
Tm Th Co
6 2 2
Cartesian
0.0000 0.0000 0.0000 Tm
-2.8588 0.0000 7.6266 Tm
2.1827 0.0000 4.7033 Tm
0.5003 0.0000 9.3465 Tm
5.2174 0.0000 3.1141 Tm
5.5644 0.0000 6.3978 Tm
3.7063 0.0000 10.5226 Th
8.4710 0.0000 1.7519 Th
-1.6825 0.0000 5.0420 Co
-1.2784 0.0000 12.3054 Co
```

* symmetry: Cm
* DFT formation energy: -0.7 eV per formula unit
* distance to the lowest polymorph of the same formula: 0 meV/atom



(20)
First-principles (PBE) data for a relaxed structure of RbAs, as listed in Alexandria.

Geometry as POSCAR:
```
RbAs
1.0
9.8720 0.0000 0.0000
0.0000 9.8720 0.0000
0.0000 0.0000 9.8720
Rb As
6 6
Cartesian
0.0000 2.4680 4.9360 Rb
0.0000 7.4040 4.9360 Rb
2.4680 4.9360 0.0000 Rb
4.9360 0.0000 2.4680 Rb
4.9360 0.0000 7.4040 Rb
7.4040 4.9360 0.0000 Rb
0.0000 4.9360 2.4680 As
0.0000 4.9360 7.4040 As
2.4680 0.0000 4.9360 As
4.9360 2.4680 0.0000 As
4.9360 7.4040 0.0000 As
7.4040 0.0000 4.9360 As
```

* symmetry: Pm-3n
* DFT formation energy: 1.1 eV per formula unit
* distance to the lowest polymorph of the same formula: 994 meV/atom



(21)
First-principles (PBE) data for a relaxed structure of Lu2MgAu, as listed in Alexandria.

Geometry as POSCAR:
```
Lu2MgAu
1.0
0.0000 3.5988 3.5988
3.5988 0.0000 3.5988
3.5988 3.5988 0.0000
Lu Mg Au
2 1 1
Cartesian
1.7994 1.7994 1.7994 Lu
5.3982 5.3982 5.3982 Lu
0.0000 0.0000 0.0000 Mg
3.5988 3.5988 3.5988 Au
```

* symmetry: Fm-3m
* DFT formation energy: -1.7 eV per formula unit
* distance to the lowest polymorph of the same formula: 52 meV/atom



(22)
First-principles (PBE) data for a relaxed structure of KRbMgC2, as listed in Alexandria.

Geometry as POSCAR:
```
KRbMgC2
1.0
5.6239 0.0000 0.0000
0.0000 5.6239 0.0000
0.0000 0.0000 6.4957
K Rb Mg C
1 1 1 2
Cartesian
0.0000 0.0000 0.0000 K
0.0000 0.0000 3.2479 Rb
2.8120 2.8120 3.2479 Mg
0.0000 2.8120 0.0000 C
2.8120 0.0000 0.0000 C
```

* symmetry: P4/mmm
* DFT formation energy: 12.6 eV per formula unit



(23)
First-principles (PBE) data for a relaxed structure of Tb2SmEr5, as listed in Alexandria.

Geometry as POSCAR:
```
Tb2SmEr5
1.0
7.0702 0.0000 0.0000
0.0000 14.1443 0.0000
0.0000 0.0000 4.9881
Tb Sm Er
4 2 10
Cartesian
1.7614 1.7757 0.0000 Tb
1.7737 8.8478 0.0000 Tb
5.2965 5.2964 0.0000 Tb
5.3088 12.3685 0.0000 Tb
0.0000 7.0721 2.4941 Sm
3.5351 0.0000 2.4941 Sm
0.0000 0.0000 2.4941 Er
7.0672 3.5255 2.4941 Er
0.0030 10.6187 2.4941 Er
1.7674 5.2948 0.0000 Er
1.7677 12.3669 0.0000 Er
3.5321 3.5466 2.4941 Er
3.5351 7.0721 2.4941 Er
3.5381 10.5977 2.4941 Er
5.3024 1.7773 0.0000 Er
5.3028 8.8495 0.0000 Er
```

* symmetry: Pbam
* DFT formation energy: 0.1 eV per formula unit



(24)
First-principles (PBE) data for a relaxed structure of YHfAu, as listed in Alexandria.

Geometry as POSCAR:
```
YHfAu
1.0
0.0000 3.3319 3.3319
3.3319 0.0000 3.3319
3.3319 3.3319 0.0000
Y Hf Au
1 1 1
Cartesian
0.0000 0.0000 0.0000 Y
4.9979 4.9979 4.9979 Hf
3.3319 3.3319 3.3319 Au
```

* symmetry: F-43m
* DFT formation energy: 1.1 eV per formula unit
* distance to the lowest polymorph of the same formula: 849 meV/atom



(25)
First-principles (PBE) data for a relaxed structure of YFeBr2, as listed in Alexandria.

Geometry as POSCAR:
```
YFeBr2
1.0
7.5458 -1.8675 0.0000
7.5458 1.8675 0.0000
-0.0248 0.0000 4.2487
Y Fe Br
1 1 2
Cartesian
0.0000 0.0000 0.0000 Y
7.5334 0.0000 2.1243 Fe
5.4662 0.0000 3.2390 Br
9.6006 0.0000 1.0097 Br
```

* symmetry: C2/m
* uncorrected formation energy: -0.585 eV/atom
* distance to the lowest polymorph of the same formula: 0 meV/atom



Number 1: volume 69 Å³/cell, size of the total moment 0.000 μB per atom. Number 2: volume 432 Å³/cell, size of the total moment 0.000 μB per atom. Number 3: volume 211 Å³/cell, size of the total moment 0.000 μB per atom. Number 4: volume 105 Å³/cell, size of the total moment 0.000 μB per atom. Number 5: volume 651 Å³/cell, size of the total moment 0.000 μB per atom. Number 6: volume 156 Å³/cell, size of the total moment 0.000 μB per atom. Number 7: volume 100 Å³/cell, size of the total moment 0.000 μB per atom. Number 8: volume 457 Å³/cell, size of the total moment 0.000 μB per atom. Number 9: volume 98 Å³/cell, size of the total moment 0.000 μB per atom. Number 10: volume 104 Å³/cell, size of the total moment 0.000 μB per atom. Number 11: volume 76 Å³/cell, size of the total moment 0.000 μB per atom. Number 12: volume 90 Å³/cell, size of the total moment 2.173 μB per atom. Number 13: volume 124 Å³/cell, size of the total moment 0.195 μB per atom. Number 14: volume 166 Å³/cell, size of the total moment 0.000 μB per atom. Number 15: volume 36 Å³/cell, size of the total moment 0.000 μB per atom. Number 16: volume 217 Å³/cell, size of the total moment 0.180 μB per atom. Number 17: volume 219 Å³/cell, size of the total moment 0.000 μB per atom. Number 18: volume 98 Å³/cell, size of the total moment 0.375 μB per atom. Number 19: volume 262 Å³/cell, size of the total moment 0.000 μB per atom. Number 20: volume 962 Å³/cell, size of the total moment 1.000 μB per atom. Number 21: volume 93 Å³/cell, size of the total moment 0.000 μB per atom. Number 22: volume 205 Å³/cell, size of the total moment 1.161 μB per atom. Number 23: volume 499 Å³/cell, size of the total moment 0.000 μB per atom. Number 24: volume 74 Å³/cell, size of the total moment 0.000 μB per atom. Number 25: volume 120 Å³/cell, size of the total moment 0.324 μB per atom.